(1)
Th2Si4Pd3 after structural relaxation, computed with GGA-PBE.

a = 8.042 Å, b = 8.042 Å, c = 7.570 Å
α = 90.00°, β = 90.00°, γ = 137.89°
Fractional coordinates of all 18 atoms:
Th 0.110 0.890 0.909
Th 0.390 0.610 0.409
Th 0.610 0.390 0.591
Th 0.890 0.110 0.091
Si 0.180 0.820 0.519
Si 0.193 0.307 0.750
Si 0.307 0.193 0.250
Si 0.320 0.680 0.019
Si 0.680 0.320 0.981
Si 0.693 0.807 0.750
Si 0.807 0.693 0.250
Si 0.820 0.180 0.481
Pd 0.000 0.000 0.500
Pd 0.029 0.471 0.750
Pd 0.471 0.029 0.250
Pd 0.500 0.500 0.000
Pd 0.529 0.971 0.750
Pd 0.971 0.529 0.250

Properties
**Total magnetic moment**: 0.00 μB per cell
**VASP energy**: -6.541 eV per atom
**SG**: Cmce, No. 64
**Energy relative to the elements, uncorrected**: -0.751 eV per atom

=====

(2)
K2ZrSi after structural relaxation, computed with GGA-PBE.

a = 4.182 Å, b = 4.182 Å, c = 6.112 Å
α = 90.00°, β = 90.00°, γ = 90.00°
Fractional coordinates of all 4 atoms:
K 0.000 0.500 0.000
K 0.500 0.000 0.000
Zr 0.000 0.000 0.500
Si 0.500 0.500 0.500

Properties
**Total magnetic moment**: 0.15 μB per cell
**VASP energy**: -3.534 eV per atom
**SG**: P4/mmm, No. 123
**Energy relative to the elements, uncorrected**: 0.508 eV per atom

=====

> The highest energy relative to the elements, uncorrected belongs to which entry?

K2ZrSi